Entry 1:
Compound: Sr2ZnS3
Source: Alexandria
Functional: PBE
Structure: relaxed

Calculated values
SG	No. 62
formation energy (no corrections)	-1664	meV/atom
DOS at the Fermi energy	0.0	states/eV per cell
theoretical density	3.9	g/cm3
total DFT energy (no corrections)	-4.50	eV per atom
crystal system	orthorhombic

a b c (Å): 4.0942 8.5380 16.5131
angles (deg): 90.00 90.00 90.00
With the nearest neighbours (Å) after each atom.
Element x y z (fractional)
S: 0.7500 0.5082 0.4010  2 Zn 2.42
Sr: 0.2500 0.7579 0.4587  7 S 2.94-3.24
S: 0.2500 0.3195 0.2258  1 Zn 2.36
Sr: 0.2500 0.4192 0.7845  7 S 3.03-3.16
Zn: 0.2500 0.8726 0.1338  4 S 2.34-2.42
S: 0.7500 0.0082 0.0990  2 Zn 2.42
S: 0.7500 0.8739 0.5719  1 Zn 2.34
Zn: 0.7500 0.6274 0.6338  4 S 2.34-2.42
S: 0.7500 0.6805 0.7742  1 Zn 2.36
Sr: 0.2500 0.2579 0.0413  7 S 2.94-3.24
Sr: 0.7500 0.5808 0.2155  7 S 3.03-3.16
S: 0.2500 0.9918 0.9010  2 Zn 2.42
S: 0.2500 0.4918 0.5990  2 Zn 2.42
Zn: 0.2500 0.3726 0.3662  4 S 2.34-2.42
Sr: 0.7500 0.0808 0.2845  7 S 3.03-3.16
Sr: 0.2500 0.9192 0.7155  7 S 3.03-3.16
Zn: 0.7500 0.1274 0.8662  4 S 2.34-2.42
Sr: 0.7500 0.7421 0.9587  7 S 2.94-3.24
S: 0.7500 0.3739 0.9281  1 Zn 2.34
S: 0.2500 0.6261 0.0719  1 Zn 2.34
Sr: 0.7500 0.2421 0.5413  7 S 2.94-3.24
S: 0.7500 0.1805 0.7258  1 Zn 2.36
S: 0.2500 0.1261 0.4281  1 Zn 2.34
S: 0.2500 0.8195 0.2742  1 Zn 2.36

---

Entry 2:
Compound: Sr2ZrZnS5
Source: Alexandria
Functional: PBE
Structure: relaxed

Calculated values
SG	No. 36
formation energy (no corrections)	-1629	meV/atom
theoretical density	3.9	g/cm3
total DFT energy (no corrections)	-5.39	eV per atom
crystal system	orthorhombic

a b c (Å): 3.9102 8.8994 12.3315
angles (deg): 90.00 90.00 102.69
With the nearest neighbours (Å) after each atom.
Element x y z (fractional)
Zn: 0.4435 0.8871 0.4462  3 S 2.27-2.34
Sr: 0.8754 0.7507 0.8114  7 S 2.95-3.21
S: 0.5007 0.0013 0.7798  1 Zn 2.27
Zn: 0.5565 0.1129 0.9462  3 S 2.27-2.34
S: 0.2844 0.5687 0.6588  2 Zr 2.62
Zr: 0.2112 0.4225 0.0174  6 S 2.50-2.65
S: 0.3550 0.7101 0.0027  1 Zr 2.50
Sr: 0.1078 0.2156 0.6816  5 S 2.96-3.08
S: 0.7156 0.4313 0.1588  2 Zr 2.62
Sr: 0.8922 0.7844 0.1816  5 S 2.96-3.08
S: 0.3036 0.6072 0.3754  1 Zn 2.58, 2 Zr 2.64
S: 0.0604 0.1209 0.0506  2 Zn 2.34
Zr: 0.7888 0.5775 0.5174  6 S 2.50-2.65
S: 0.9396 0.8791 0.5506  2 Zn 2.34
S: 0.6964 0.3928 0.8754  1 Zn 2.58, 2 Zr 2.64
S: 0.4993 0.9987 0.2798  1 Zn 2.27
Sr: 0.1246 0.2493 0.3114  7 S 2.95-3.21
S: 0.6450 0.2899 0.5027  1 Zr 2.50

---

Entry 3:
Compound: SrZr3S
Source: Alexandria
Functional: PBE
Structure: relaxed

Calculated values
SG	No. 221
formation energy (no corrections)	1957	meV/atom
DOS at the Fermi energy	5.7	states/eV per cell
theoretical density	4.7	g/cm3
total DFT energy (no corrections)	-4.33	eV per atom
crystal system	cubic
energy above the lowest structure with this stoichiometry	11.32	eV/f.u.

a b c (Å): 5.1623 5.1623 5.1623
angles (deg): 90.00 90.00 90.00
With the nearest neighbours (Å) after each atom.
Element x y z (fractional)
S: 0.5000 0.5000 0.5000  12 Zr 3.65
Zr: 0.5000 0.0000 0.0000  2 Sr 2.58
Zr: 0.0000 0.0000 0.5000  2 Sr 2.58
Sr: 0.0000 0.0000 0.0000  6 Zr 2.58
Zr: 0.0000 0.5000 0.0000  2 Sr 2.58

---

Entry 4:
Compound: SrZr4S8
Source: Alexandria
Functional: PBE
Structure: relaxed

Calculated values
SG	No. 216
formation energy (no corrections)	-1563	meV/atom
DOS at the Fermi energy	7.2	states/eV per cell
theoretical density	3.5	g/cm3
total DFT energy (no corrections)	-6.86	eV per atom
crystal system	cubic
energy above the lowest structure with this stoichiometry	1.38	eV/f.u.

a b c (Å): 7.7833 7.7833 7.7833
angles (deg): 60.00 60.00 60.00
With the nearest neighbours (Å) after each atom.
Element x y z (fractional)
Zr: 0.3686 0.3686 0.3686  6 S 2.58-2.65
S: 0.1341 0.1341 0.1341  3 Zr 2.58
Zr: 0.8942 0.3686 0.3686  6 S 2.58-2.65
S: 0.1341 0.1341 0.5977  3 Zr 2.58
S: 0.1794 0.6069 0.6069  3 Zr 2.65, 1 Sr 2.73
Zr: 0.3686 0.8942 0.3686  6 S 2.58-2.65
Zr: 0.3686 0.3686 0.8942  6 S 2.58-2.65
S: 0.5977 0.1341 0.1341  3 Zr 2.58
S: 0.6069 0.1794 0.6069  3 Zr 2.65, 1 Sr 2.73
S: 0.6069 0.6069 0.6069  3 Zr 2.65, 1 Sr 2.73
S: 0.6069 0.6069 0.1794  3 Zr 2.65, 1 Sr 2.73
S: 0.1341 0.5977 0.1341  3 Zr 2.58
Sr: 0.7500 0.7500 0.7500  4 S 2.73

---

Entry 5:
Compound: SrZrS2
Source: Alexandria
Functional: PBE
Structure: relaxed

Calculated values
SG	No. 122
formation energy (no corrections)	-1297	meV/atom
DOS at the Fermi energy	6.4	states/eV per cell
theoretical density	3.4	g/cm3
total DFT energy (no corrections)	-5.92	eV per atom
crystal system	tetragonal
energy above the lowest structure with this stoichiometry	0.00	eV/f.u.

a b c (Å): 6.2861 6.2861 7.4517
angles (deg): 65.05 65.05 90.00
With the nearest neighbours (Å) after each atom.
Element x y z (fractional)
Zr: 0.0000 0.0000 0.0000  4 S 2.51
Sr: 0.2500 0.7500 0.5000  4 S 2.87
S: 0.3750 0.3261 0.7500  2 Zr 2.51
Zr: 0.7500 0.2500 0.5000  4 S 2.51
S: 0.8750 0.9239 0.7500  2 Zr 2.51
S: 0.6739 0.1250 0.2500  2 Zr 2.51
S: 0.0761 0.6250 0.2500  2 Zr 2.51
Sr: 0.5000 0.5000 0.0000  4 S 2.87

---

Entry 6:
Compound: SrZrS2
Source: Alexandria
Functional: PBE
Structure: relaxed

Calculated values
SG	No. 166
formation energy (no corrections)	-1089	meV/atom
DOS at the Fermi energy	1.3	states/eV per cell
theoretical density	3.3	g/cm3
total DFT energy (no corrections)	-5.71	eV per atom
crystal system	trigonal
energy above the lowest structure with this stoichiometry	0.83	eV/f.u.

a b c (Å): 8.5212 8.5212 8.5212
angles (deg): 28.22 28.22 28.22
With the nearest neighbours (Å) after each atom.
Element x y z (fractional)
Zr: 0.0000 0.0000 0.0000  2 S 2.41
S: 0.0983 0.0983 0.0983  1 Zr 2.41
Sr: 0.5000 0.5000 0.5000  6 S 2.93
S: 0.9017 0.9017 0.9017  1 Zr 2.41

---

Entry 7:
Compound: SrZr4S8
Source: Alexandria
Functional: PBE
Structure: relaxed

Calculated values
SG	No. 12
formation energy (no corrections)	-1669	meV/atom
DOS at the Fermi energy	6.7	states/eV per cell
theoretical density	3.5	g/cm3
total DFT energy (no corrections)	-6.97	eV per atom
crystal system	monoclinic
energy above the lowest structure with this stoichiometry	0.00	eV/f.u.

a b c (Å): 7.2969 7.2969 8.2368
angles (deg): 102.23 103.39 119.97
With the nearest neighbours (Å) after each atom.
Element x y z (fractional)
S: 0.3135 0.4861 0.7997  3 Zr 2.61-2.63
S: 0.8154 0.4852 0.7921  3 Zr 2.58-2.63
Zr: 0.7454 0.2419 0.9873  6 S 2.55-2.63
Zr: 0.7552 0.7552 0.0000  6 S 2.58-2.61
S: 0.8124 0.9788 0.7912  3 Zr 2.55-2.58
Zr: 0.2546 0.7581 0.0127  6 S 2.55-2.63
S: 0.6931 0.0234 0.2079  3 Zr 2.58-2.63
S: 0.1876 0.0212 0.2088  3 Zr 2.55-2.58
Sr: 0.0000 0.5000 0.5000  6 S 3.01
S: 0.1846 0.5148 0.2079  3 Zr 2.58-2.63
S: 0.3069 0.9766 0.7921  3 Zr 2.58-2.63
S: 0.6865 0.5139 0.2003  3 Zr 2.61-2.63
Zr: 0.2448 0.2448 0.0000  6 S 2.58-2.61

---

Entry 8:
Compound: SrZrS2
Source: Alexandria
Functional: PBE
Structure: relaxed

Calculated values
SG	No. 225
formation energy (no corrections)	-1237	meV/atom
DOS at the Fermi energy	0.7	states/eV per cell
theoretical density	4.9	g/cm3
total DFT energy (no corrections)	-5.86	eV per atom
crystal system	cubic
energy above the lowest structure with this stoichiometry	0.24	eV/f.u.

a b c (Å): 4.8868 4.8868 4.8868
angles (deg): 60.00 60.00 60.00
With the nearest neighbours (Å) after each atom.
Element x y z (fractional)
S: 0.7500 0.7500 0.7500  4 Zr 2.99, 4 Sr 2.99
S: 0.2500 0.2500 0.2500  4 Zr 2.99, 4 Sr 2.99
Zr: 0.5000 0.5000 0.5000  8 S 2.99
Sr: 0.0000 0.0000 0.0000  8 S 2.99

---

Entry 9:
Compound: SrZr3S
Source: Alexandria
Functional: PBE
Structure: relaxed

Calculated values
SG	No. 221
formation energy (no corrections)	-307	meV/atom
DOS at the Fermi energy	4.4	states/eV per cell
theoretical density	5.1	g/cm3
total DFT energy (no corrections)	-6.60	eV per atom
crystal system	cubic
energy above the lowest structure with this stoichiometry	0.00	eV/f.u.

a b c (Å): 5.0307 5.0307 5.0307
angles (deg): 90.00 90.00 90.00
With the nearest neighbours (Å) after each atom.
Element x y z (fractional)
Zr: 0.0000 0.5000 0.0000  2 S 2.52
Sr: 0.5000 0.5000 0.5000  12 Zr 3.56
Zr: 0.0000 0.0000 0.5000  2 S 2.52
S: 0.0000 0.0000 0.0000  6 Zr 2.52
Zr: 0.5000 0.0000 0.0000  2 S 2.52

---

Entry 10:
Compound: SrZrS2
Source: Alexandria
Functional: PBE
Structure: relaxed

Calculated values
SG	No. 166
formation energy (no corrections)	-1266	meV/atom
DOS at the Fermi energy	2.8	states/eV per cell
theoretical density	3.7	g/cm3
total DFT energy (no corrections)	-5.89	eV per atom
crystal system	trigonal
energy above the lowest structure with this stoichiometry	0.12	eV/f.u.

a b c (Å): 9.0635 9.0635 9.0635
angles (deg): 24.16 24.16 24.16
With the nearest neighbours (Å) after each atom.
Element x y z (fractional)
Sr: 0.0000 0.0000 0.0000  2 S 2.93
Zr: 0.5000 0.5000 0.5000  6 S 2.64
S: 0.8891 0.8891 0.8891  3 Zr 2.64, 1 Sr 2.93
S: 0.1109 0.1109 0.1109  3 Zr 2.64, 1 Sr 2.93

---

Entry 11:
Compound: TaS4
Source: Alexandria
Functional: PBE
Structure: relaxed

Calculated values
SG	No. 221
formation energy (no corrections)	203	meV/atom
DOS at the Fermi energy	5.8	states/eV per cell
theoretical density	4.6	g/cm3
total DFT energy (no corrections)	-5.47	eV per atom
crystal system	cubic

a b c (Å): 4.8109 4.8109 4.8109
angles (deg): 90.00 90.00 90.00
With the nearest neighbours (Å) after each atom.
Element x y z (fractional)
S: 0.5000 0.5000 0.0000  2 Ta 2.41
S: 0.0000 0.5000 0.5000  2 Ta 2.41
S: 0.0000 0.0000 0.0000  12 S 3.40
S: 0.5000 0.0000 0.5000  2 Ta 2.41
Ta: 0.5000 0.5000 0.5000  6 S 2.41

---

Entry 12:
Compound: TaS2
Source: Alexandria
Functional: PBE
Structure: relaxed

Calculated values
SG	No. 194
formation energy (no corrections)	-1052	meV/atom
DOS at the Fermi energy	5.7	states/eV per cell
theoretical density	5.8	g/cm3
total DFT energy (no corrections)	-7.75	eV per atom
crystal system	hexagonal

a b c (Å): 3.3412 3.3412 14.5231
angles (deg): 90.00 90.00 120.00
With the nearest neighbours (Å) after each atom.
Element x y z (fractional)
S: 0.0000 0.0000 0.8577  3 Ta 2.48
Ta: 0.6667 0.3333 0.2500  6 S 2.48
S: 0.0000 0.0000 0.1423  3 Ta 2.48
S: 0.0000 0.0000 0.3577  3 Ta 2.48
Ta: 0.3333 0.6667 0.7500  6 S 2.48
S: 0.0000 0.0000 0.6423  3 Ta 2.48